Below is crystalline PaZnTe2 at its relaxed geometry, with properties calculated at the GGA-PBE level.

Properties
The value obtained for the relative energy among the computed polymorphs is 0 meV/atom. As for the energy relative to the elements, uncorrected: -34.4 kJ per mole of atoms. Its calculated total energy is -18.48 eV per cell. Its total magnetization is 0.9 μB per formula unit.

Lattice parameters (Å, degrees): 4.039 4.039 8.575 76.38 76.38 60.00
Atoms (fractional coordinates):
Te: 0.083 0.083 0.752
Zn: 0.500 0.500 0.500
Te: 0.251 0.251 0.246
Pa: 0.666 0.666 0.002